[1]
Computed, not measured: BaZn4Pb after structural relaxation at the PBE-GGA level of DFT.

a b c (Å): 5.8437 5.8437 5.8437
angles (deg): 60.00 60.00 60.00
Fractional positions:
Ba1 0.0000 0.0000 0.0000
Zn1 0.3762 0.3762 0.3762
Zn2 0.3762 0.3762 0.8713
Zn3 0.3762 0.8713 0.3762
Zn4 0.8713 0.3762 0.3762
Pb1 0.7500 0.7500 0.7500

Computed properties:
**E**: -1.842 eV/atom

[2]
Computed, not measured: Ba2Zn2Pb after structural relaxation at the PBE-GGA level of DFT.

a b c (Å): 7.9674 7.9674 5.1553
angles (deg): 90.00 90.00 90.00
Fractional positions:
Ba1 0.1918 0.3082 0.0000
Ba2 0.3082 0.8082 0.0000
Ba3 0.6918 0.1918 0.0000
Ba4 0.8082 0.6918 0.0000
Zn1 0.1113 0.6113 0.5000
Zn2 0.3887 0.1113 0.5000
Zn3 0.6113 0.8887 0.5000
Zn4 0.8887 0.3887 0.5000
Pb1 0.0000 0.0000 0.5000
Pb2 0.5000 0.5000 0.5000

Computed properties:
**Relative energy among the computed polymorphs**: 0.000 eV per formula unit

[3]
Computed, not measured: BaZnPb2 after structural relaxation at the PBE-GGA level of DFT.

a b c (Å): 5.3925 4.7490 5.4108
angles (deg): 90.00 104.98 90.00
Fractional positions:
Ba1 0.0000 0.0000 0.0000
Zn1 0.5000 0.0000 0.5000
Pb1 0.3107 0.5000 0.6894
Pb2 0.6893 0.5000 0.3106

Computed properties:
**E**: -2.897 eV/atom

[4]
Computed, not measured: BaZnPb after structural relaxation at the PBE-GGA level of DFT.

a b c (Å): 5.8953 5.8953 5.8953
angles (deg): 140.21 127.38 67.94
Fractional positions:
Ba1 0.0000 0.0000 0.0000
Zn1 0.3418 0.3418 0.0000
Pb1 0.6511 0.6511 0.0000

Computed properties:
**E**: -2.397 eV/atom

[5]
Computed, not measured: BaZnPb2 after structural relaxation at the PBE-GGA level of DFT.

a b c (Å): 6.7859 6.7859 3.7611
angles (deg): 103.57 103.57 120.08
Fractional positions:
Ba1 0.0000 0.0000 0.0000
Zn1 0.5000 0.5000 0.0000
Pb1 0.0000 0.5000 0.5000
Pb2 0.5000 0.0000 0.5000

Computed properties:
**E**: -2.697 eV/atom

[6]
Computed, not measured: BaZnPb2 after structural relaxation at the PBE-GGA level of DFT.

a b c (Å): 4.0577 4.0577 7.7610
angles (deg): 90.00 90.00 90.00
Fractional positions:
Ba1 0.0000 0.0000 0.0000
Zn1 0.5000 0.5000 0.7218
Pb1 0.0000 0.0000 0.5339
Pb2 0.5000 0.5000 0.3186

Computed properties:
**E**: -2.826 eV/atom

What M_tot values result from the calculations? In sequence: 0.00, 0.00, 0.00, 0.00, 0.00, 0.00 μB/cell.